Computed, not measured: crystalline Rb2NaUCl8 at its relaxed geometry at the PBE-GGA level of DFT.

abc: 6.851 7.114 10.035
angles: 90.03 90.05 96.11
Positions (direct):
Rb 0.001 0.001 0.225
Rb 0.999 0.999 0.775
Na 0.500 0.500 0.000
U 0.500 0.500 0.500
Cl 0.238 0.220 0.999
Cl 0.280 0.188 0.501
Cl 0.288 0.624 0.321
Cl 0.291 0.625 0.680
Cl 0.709 0.375 0.320
Cl 0.712 0.376 0.679
Cl 0.720 0.812 0.499
Cl 0.762 0.780 0.001

**Total moment**: 0.91 μB per cell
**Energy relative to the elements, uncorrected**: -40.35 kcal/mol of atoms
**Density**: 2.4 Mg/m³
**Crystal system**: triclinic

---

Computed, not measured: crystalline Nd3DyEr2 at its relaxed geometry at the PBE-GGA level of DFT.

abc: 8.949 8.949 8.949
angles: 103.44 93.06 135.58
Positions (direct):
Nd 0.015 0.750 0.265
Nd 0.250 0.250 0.000
Nd 0.485 0.750 0.735
Nd 0.515 0.250 0.265
Nd 0.750 0.750 0.000
Nd 0.985 0.250 0.735
Dy 0.000 0.500 0.500
Dy 0.500 0.000 0.500
Er 0.175 0.243 0.418
Er 0.325 0.743 0.068
Er 0.675 0.257 0.932
Er 0.825 0.757 0.582

**Total moment**: 0.00 μB per cell
**ΔE to the lowest computed polymorph**: 0.581 eV/atom
**Density**: 6.7 Mg/m³
**Crystal system**: orthorhombic
**Formation energy**: 3.53 eV/f.u.

---

Computed, not measured: crystalline Rb2TbTmS4 at its relaxed geometry at the PBE-GGA level of DFT.

abc: 7.038 4.063 8.033
angles: 90.00 106.97 90.00
Positions (direct):
Rb 0.000 0.000 0.000
Rb 0.500 0.500 0.000
Tb 0.000 0.500 0.500
Tm 0.500 0.000 0.500
S 0.234 0.000 0.692
S 0.274 0.500 0.310
S 0.726 0.500 0.690
S 0.766 0.000 0.308

**Total moment**: 0.00 μB per cell
**Energy relative to the elements, uncorrected**: -42.71 kcal/mol of atoms
**Density**: 4.7 Mg/m³
**Crystal system**: monoclinic